# 1
Sm4InBi3 | PBE | optimized geometry

Values from the calculation:
* E_tot: -4.868 eV per atom
* theoretical density: 8.42 g/cm3
* crystal system: cubic
* DOS(E_F): 4.2 states/eV/cell

Lattice parameters (Å, degrees): 6.422 6.422 6.422 90.00 90.00 90.00
Space group Pm-3m (No. 221)
Asymmetric unit:
Sm 0.000 0.000 0.000 x1
Sm 0.000 0.500 0.500 x3
In 0.500 0.500 0.500 x1
Bi 0.000 0.000 0.500 x3

***

# 2
PaNiAgS3 | PBE | optimized geometry

Values from the calculation:
* E_tot: -5.998 eV per atom
* theoretical density: 6.83 g/cm3
* crystal system: monoclinic
* DOS(E_F): 2.4 states/eV/cell
* formation energy (no corrections): -0.913 eV/atom

Lattice parameters (Å, degrees): 7.783 3.780 8.298 90.00 100.31 90.00
Space group P2_1/m (No. 11)
Asymmetric unit:
Pa 0.233 0.250 0.158 x2
Ni 0.418 0.750 0.915 x2
Ag 0.213 0.250 0.579 x2
S 0.125 0.750 0.360 x2
S 0.137 0.750 0.926 x2
S 0.493 0.250 0.790 x2